This record from Alexandria via LeMat-Bulk describes a geometry-optimized Rb2ThRe3O12 structure. The functional is GGA-PBE.

a = 7.659 Å, b = 7.659 Å, c = 7.659 Å
α = 57.86°, β = 57.86°, γ = 57.86°
Last column: magnetic moment on the atom in μB.
Element x y z (fractional)
Rb: 0.623 0.623 0.623  0.00
Rb: 0.377 0.377 0.377  0.00
Th: 0.000 0.000 0.000  0.06
Re: 0.500 0.000 0.000  0.56
Re: 0.000 0.500 0.000  0.56
Re: 0.000 0.000 0.500  0.56
O: 0.298 0.298 0.928  0.03
O: 0.918 0.918 0.366  0.05
O: 0.366 0.918 0.918  0.05
O: 0.928 0.298 0.298  0.03
O: 0.918 0.366 0.918  0.05
O: 0.298 0.928 0.298  0.03
O: 0.702 0.702 0.072  0.03
O: 0.082 0.082 0.634  0.05
O: 0.634 0.082 0.082  0.05
O: 0.072 0.702 0.702  0.03
O: 0.082 0.634 0.082  0.05
O: 0.702 0.072 0.702  0.03

Calculated values
**Uncorrected formation energy**: -1.975 eV/atom



This record from Alexandria via LeMat-Bulk describes a geometry-optimized K2NiTe structure. The functional is GGA-PBE.

a = 10.461 Å, b = 10.461 Å, c = 10.461 Å
α = 21.45°, β = 21.45°, γ = 21.45°
Last column: magnetic moment on the atom in μB.
Element x y z (fractional)
K: 0.996 0.996 0.996  0.00
K: 0.504 0.504 0.504  0.00
Ni: 0.250 0.250 0.250  0.79
Te: 0.750 0.750 0.750  0.00

Calculated values
**Uncorrected formation energy**: 0.340 eV/atom



This record from Alexandria via LeMat-Bulk describes a geometry-optimized B2PdPt9Pb3 structure. The functional is GGA-PBE.

a = 5.644 Å, b = 5.644 Å, c = 9.913 Å
α = 90.00°, β = 90.00°, γ = 120.00°
Element x y z (fractional)
B: 0.333 0.667 0.148
B: 0.667 0.333 0.852
Pd: 0.000 0.000 0.500
Pt: 0.837 0.163 0.723
Pt: 0.837 0.674 0.723
Pt: 0.326 0.163 0.723
Pt: 0.674 0.837 0.277
Pt: 0.163 0.326 0.277
Pt: 0.163 0.837 0.277
Pt: 0.500 0.000 0.000
Pt: 0.000 0.500 0.000
Pt: 0.500 0.500 0.000
Pb: 0.333 0.667 0.605
Pb: 0.000 0.000 0.000
Pb: 0.667 0.333 0.395

Calculated values
**ΔE_f**: -0.129 eV/atom



This record from Alexandria via LeMat-Bulk describes a geometry-optimized LaEuSbI structure. The functional is GGA-PBE.

a = 5.633 Å, b = 5.633 Å, c = 5.633 Å
α = 60.00°, β = 60.00°, γ = 60.00°
Last column: magnetic moment on the atom in μB.
Element x y z (fractional)
Eu: 0.250 0.250 0.250  6.97
I: 0.500 0.500 0.500  -0.02
Sb: 0.000 0.000 0.000  -0.05
La: 0.750 0.750 0.750  0.28

Calculated values
**Uncorrected formation energy**: -1.090 eV/atom



This record from Alexandria via LeMat-Bulk describes a geometry-optimized YMgRuAu structure. The functional is GGA-PBE.

a = 4.772 Å, b = 4.772 Å, c = 4.772 Å
α = 60.00°, β = 60.00°, γ = 60.00°
Element x y z (fractional)
Y: 0.750 0.750 0.750
Ru: 0.500 0.500 0.500
Mg: 0.250 0.250 0.250
Au: 0.000 0.000 0.000

Calculated values
**ΔE_f**: -0.368 eV/atom



This record from Alexandria via LeMat-Bulk describes a geometry-optimized K2Sr2Ni structure. The functional is GGA-PBE.

a = 8.041 Å, b = 8.041 Å, c = 7.487 Å
α = 90.00°, β = 90.00°, γ = 90.00°
Element x y z (fractional)
Sr: 0.315 0.815 0.000
Sr: 0.815 0.685 0.000
Sr: 0.685 0.185 0.000
Sr: 0.185 0.315 0.000
K: 0.181 0.681 0.500
K: 0.681 0.819 0.500
K: 0.819 0.319 0.500
K: 0.319 0.181 0.500
Ni: 0.000 0.000 0.000
Ni: 0.500 0.500 0.000

Calculated values
**ΔE_f**: 0.274 eV/atom



This record from Alexandria via LeMat-Bulk describes a geometry-optimized Hf4CuN2 structure. The functional is GGA-PBE.

a = 3.287 Å, b = 5.717 Å, c = 11.508 Å
α = 90.00°, β = 90.00°, γ = 106.71°
Element x y z (fractional)
Hf: 0.763 0.526 0.108
Hf: 0.763 0.526 0.392
Hf: 0.237 0.474 0.892
Hf: 0.237 0.474 0.608
Hf: 0.928 0.856 0.750
Hf: 0.072 0.144 0.250
Hf: 0.500 0.000 0.000
Hf: 0.500 0.000 0.500
Cu: 0.616 0.231 0.750
Cu: 0.384 0.769 0.250
N: 0.133 0.266 0.439
N: 0.867 0.734 0.939
N: 0.133 0.266 0.061
N: 0.867 0.734 0.561

Calculated values
**Uncorrected formation energy**: -1.138 eV/atom



This record from Alexandria via LeMat-Bulk describes a geometry-optimized SrLiBe2As structure. The functional is GGA-PBE.

a = 5.636 Å, b = 5.672 Å, c = 5.636 Å
α = 90.00°, β = 90.00°, γ = 90.00°
Element x y z (fractional)
Sr: 0.000 0.000 0.000
As: 0.000 0.500 0.000
Li: 0.500 0.500 0.500
Be: 0.000 0.000 0.500
Be: 0.500 0.000 0.000

Calculated values
**ΔE_f**: 1.357 eV/atom



| no. | DFT total energy (eV/atom) | volume (A^3/atom) |
| --- | --- | --- |
| 1 | -7.8745 | 16.79 |
| 2 | -2.4393 | 33.54 |
| 3 | -5.7320 | 18.23 |
| 4 | -6.3088 | 31.59 |
| 5 | -5.5208 | 19.21 |
| 6 | -1.9942 | 48.41 |
| 7 | -9.7899 | 14.80 |
| 8 | -1.7828 | 36.04 |